Record 1
The following is a DFT calculation (PBE) of an optimized crystal structure of Sc2InCo5B2.

Results
V	12.021	A^3/atom
formation energy from the elements	-0.466	eV per atom
Fermi-level density of states	0.563	states/eV per atom
size of the total moment	0.00	μB/f.u.
electronic total energy	-6.895	eV/atom

Geometry as extended XYZ:
```
20
Lattice="8.922 0.000 0.000 0.000 8.922 0.000 0.000 0.000 3.020" Properties=species:S:1:pos:R:3 pbc="T T T"
Sc 1.572 2.890 0.000
Sc 2.890 7.351 0.000
Sc 6.033 1.572 0.000
Sc 7.351 6.033 0.000
In 0.000 0.000 0.000
In 4.461 4.461 0.000
Co 0.000 4.461 1.510
Co 0.623 6.849 1.510
Co 2.074 0.623 1.510
Co 2.387 5.084 1.510
Co 3.839 2.387 1.510
Co 4.461 0.000 1.510
Co 5.084 6.535 1.510
Co 6.535 3.839 1.510
Co 6.849 8.300 1.510
Co 8.300 2.074 1.510
B 1.054 5.516 0.000
B 3.407 1.054 0.000
B 5.516 7.868 0.000
B 7.868 3.407 0.000
```


Record 2
The following is a DFT calculation (PBE) of an optimized crystal structure of La5Al2Sn5.

Results
V	29.562	A^3/atom
formation energy from the elements	-0.687	eV per atom
Fermi-level density of states	0.479	states/eV per atom
size of the total moment	0.00	μB/f.u.
electronic total energy	-5.032	eV/atom

Geometry as extended XYZ:
```
12
Lattice="8.218 -2.298 0.000 8.218 2.298 0.000 -7.919 0.000 9.391" Properties=species:S:1:pos:R:3 pbc="T T T"
La 0.000 0.000 0.000
La -1.554 0.000 3.976
La -3.297 0.000 7.786
La 11.814 0.000 1.604
La 10.071 0.000 5.414
Al -0.004 0.000 6.995
Al 8.521 0.000 2.396
Sn 1.660 0.000 2.966
Sn 6.015 0.000 1.390
Sn 4.258 0.000 4.695
Sn 2.502 0.000 8.001
Sn 6.856 0.000 6.425
```